A plane-wave DFT calculation with PBE was carried out for SrIn2W2 after structural relaxation.

POSCAR file:
```
SrIn2W2
1.0
8.687 0.000 0.000
0.000 8.687 0.000
0.000 0.000 2.902
Sr W In
2 4 4
direct
0.000 0.000 0.000
0.500 0.500 0.000
0.105 0.605 0.500
0.605 0.895 0.500
0.895 0.395 0.500
0.395 0.105 0.500
0.317 0.817 0.000
0.817 0.683 0.000
0.683 0.183 0.000
0.183 0.317 0.000
```

* ΔE_f: 2.56 eV per formula unit
* offset from the most stable computed form: 0.1069 eV per atom
* DOS at the Fermi energy: 0.83 states/eV/cell

***

A plane-wave DFT calculation with PBE was carried out for SrInW2 after structural relaxation.

POSCAR file:
```
SrInW2
1.0
-1.530 -1.553 5.320
1.526 -5.217 1.872
2.518 4.497 -2.548
In Sr W
1 1 2
direct
0.250 0.750 0.500
0.750 0.250 0.500
0.000 0.000 0.000
0.500 0.500 0.000
```

* ΔE_f: 4.69 eV per formula unit
* DOS at the Fermi energy: 3.82 states/eV/cell

***

A plane-wave DFT calculation with PBE was carried out for SrInW2 after structural relaxation.

POSCAR file:
```
SrInW2
1.0
-3.452 3.448 -2.141
-1.254 -2.159 -1.456
-3.598 -1.083 4.056
In Sr W
1 1 2
direct
0.500 0.250 0.250
0.500 0.750 0.750
0.000 0.097 0.979
0.000 0.403 0.521
```

* ΔE_f: 4.03 eV per formula unit
* DOS at the Fermi energy: 2.64 states/eV/cell

***

A plane-wave DFT calculation with PBE was carried out for Sr2InW after structural relaxation.

POSCAR file:
```
Sr2InW
1.0
7.454 -0.012 -0.044
-3.036 5.299 0.038
1.382 0.771 2.766
In Sr W
1 2 1
direct
0.500 0.500 0.000
0.000 0.000 0.000
0.500 0.000 0.500
0.000 0.500 0.500
```

* ΔE_f: 3.36 eV per formula unit
* DOS at the Fermi energy: 5.49 states/eV/cell

***

A plane-wave DFT calculation with PBE was carried out for Sr2InW after structural relaxation.

POSCAR file:
```
Sr2InW
1.0
-1.874 -5.044 1.166
2.059 -1.842 -4.763
3.478 -0.867 1.839
In Sr W
1 2 1
direct
0.000 0.500 0.500
0.000 0.000 0.000
0.500 0.500 0.000
0.500 0.000 0.500
```

* ΔE_f: 3.29 eV per formula unit
* DOS at the Fermi energy: 3.34 states/eV/cell

***

A plane-wave DFT calculation with PBE was carried out for SrInW2 after structural relaxation.

POSCAR file:
```
SrInW2
1.0
-5.345 2.737 0.535
1.233 -3.330 -4.872
-1.658 -2.227 0.482
In Sr W
1 1 2
direct
0.500 0.000 0.500
0.000 0.500 0.500
0.000 0.000 0.000
0.500 0.500 0.000
```

* ΔE_f: 4.28 eV per formula unit
* DOS at the Fermi energy: 3.50 states/eV/cell

***

A plane-wave DFT calculation with PBE was carried out for SrInW4 after structural relaxation.

POSCAR file:
```
SrInW4
1.0
0.000 3.916 3.916
3.916 0.000 3.916
3.916 3.916 0.000
Sr In W
1 1 4
direct
0.000 0.000 0.000
0.750 0.750 0.750
0.374 0.877 0.374
0.877 0.374 0.374
0.374 0.374 0.877
0.374 0.374 0.374
```

* ΔE_f: 4.36 eV per formula unit
* DOS at the Fermi energy: 7.07 states/eV/cell

***

A plane-wave DFT calculation with PBE was carried out for SrInW2 after structural relaxation.

POSCAR file:
```
SrInW2
1.0
10.613 -0.017 -0.010
10.190 2.967 -0.010
10.190 1.445 2.591
In Sr W
1 1 2
direct
0.250 0.250 0.250
0.750 0.750 0.750
0.993 0.993 0.993
0.507 0.507 0.507
```

* ΔE_f: 4.51 eV per formula unit
* DOS at the Fermi energy: 4.35 states/eV/cell

***

A plane-wave DFT calculation with PBE was carried out for SrInW2 after structural relaxation.

POSCAR file:
```
SrInW2
1.0
4.600 0.001 -0.003
3.540 2.937 -0.003
0.800 0.289 7.157
In Sr W
1 1 2
direct
0.489 0.489 0.563
0.248 0.248 0.233
0.018 0.018 0.916
0.744 0.744 0.787
```

* ΔE_f: 2.72 eV per formula unit
* DOS at the Fermi energy: 3.21 states/eV/cell

***

A plane-wave DFT calculation with PBE was carried out for SrYIn2 after structural relaxation.

POSCAR file:
```
SrYIn2
1.0
4.280 0.000 0.000
0.000 4.280 0.000
0.000 0.000 7.027
In Sr Y
2 1 1
direct
0.000 0.000 0.982
0.500 0.500 0.241
0.000 0.000 0.476
0.500 0.500 0.801
```

* ΔE_f: -0.56 eV per formula unit
* DOS at the Fermi energy: 4.91 states/eV/cell

***

A plane-wave DFT calculation with PBE was carried out for SrY2In after structural relaxation.

POSCAR file:
```
SrY2In
1.0
-6.009 1.807 -2.744
-6.619 -1.608 -0.708
-3.314 2.674 3.492
In Sr Y
1 1 2
direct
0.490 0.490 0.510
0.222 0.222 0.278
0.006 0.006 0.994
0.782 0.782 0.718
```

* ΔE_f: -0.39 eV per formula unit
* DOS at the Fermi energy: 6.22 states/eV/cell

***

A plane-wave DFT calculation with PBE was carried out for SrYIn after structural relaxation.

POSCAR file:
```
SrYIn
1.0
7.115 -0.001 0.001
0.000 7.780 -0.056
0.000 1.042 3.833
Y Sr In
2 2 2
direct
0.939 0.039 0.410
0.439 0.039 0.410
0.689 0.648 0.105
0.189 0.430 0.714
0.689 0.273 0.792
0.189 0.804 0.027
```

* ΔE_f: -0.73 eV per formula unit
* DOS at the Fermi energy: 6.89 states/eV/cell

***

A plane-wave DFT calculation with PBE was carried out for SrY2In after structural relaxation.

POSCAR file:
```
SrY2In
1.0
-2.886 2.264 0.867
-2.275 -2.995 0.246
2.112 -0.846 9.239
In Sr Y
1 1 2
direct
0.000 0.000 0.473
0.500 0.500 0.716
0.000 0.000 0.034
0.500 0.500 0.277
```

* ΔE_f: -0.67 eV per formula unit
* DOS at the Fermi energy: 5.21 states/eV/cell

***

A plane-wave DFT calculation with PBE was carried out for SrYIn after structural relaxation.

POSCAR file:
```
SrYIn
1.0
-0.408 4.680 7.524
-4.920 1.362 0.646
-0.434 -3.392 3.847
Y Sr In
2 2 2
direct
0.059 0.250 0.614
0.059 0.750 0.114
0.708 0.926 0.790
0.410 0.575 0.439
0.289 0.135 0.999
0.829 0.365 0.229
```

* ΔE_f: -0.94 eV per formula unit
* DOS at the Fermi energy: 1.94 states/eV/cell

***

A plane-wave DFT calculation with PBE was carried out for SrYIn after structural relaxation.

POSCAR file:
```
SrYIn
1.0
-2.513 -7.465 3.991
5.291 0.525 0.711
1.907 1.849 4.659
Y Sr In
2 2 2
direct
0.960 0.385 0.397
0.157 0.850 0.664
0.688 0.537 0.821
0.429 0.698 0.241
0.241 0.239 0.970
0.877 0.996 0.091
```

* ΔE_f: -0.81 eV per formula unit
* DOS at the Fermi energy: 1.02 states/eV/cell

***

A plane-wave DFT calculation with PBE was carried out for SrYIn3 after structural relaxation.

POSCAR file:
```
SrYIn3
1.0
-1.243 -4.003 -4.002
5.660 -0.909 -0.849
-0.041 -4.091 4.104
Y Sr In
1 1 3
direct
0.000 0.000 0.000
0.500 0.500 0.500
0.000 0.500 0.000
0.000 0.000 0.500
0.500 0.000 0.000
```

* ΔE_f: 0.67 eV per formula unit
* offset from the most stable computed form: 0.0000 eV per atom
* DOS at the Fermi energy: 5.33 states/eV/cell

***

A plane-wave DFT calculation with PBE was carried out for SrYIn after structural relaxation.

POSCAR file:
```
SrYIn
1.0
-9.003 7.330 -6.868
-1.301 -0.241 3.740
1.999 3.307 0.909
Y Sr In
2 2 2
direct
0.112 0.146 0.565
0.950 0.484 0.065
0.652 0.186 0.065
0.328 0.863 0.065
0.483 0.518 0.566
0.827 0.861 0.565
```

* ΔE_f: -0.74 eV per formula unit
* DOS at the Fermi energy: 5.80 states/eV/cell

***

A plane-wave DFT calculation with PBE was carried out for SrYIn2 after structural relaxation.

POSCAR file:
```
SrYIn2
1.0
5.384 -0.007 0.019
4.043 3.556 0.019
1.291 0.486 6.965
In Sr Y
2 1 1
direct
0.997 0.997 0.050
0.503 0.503 0.450
0.750 0.750 0.750
0.250 0.250 0.250
```

* ΔE_f: -1.13 eV per formula unit
* DOS at the Fermi energy: 2.94 states/eV/cell

***

A plane-wave DFT calculation with PBE was carried out for SrY2In after structural relaxation.

POSCAR file:
```
SrY2In
1.0
5.248 0.000 0.000
2.624 4.545 0.000
2.624 1.515 6.205
Sr Y In
1 2 1
direct
0.491 0.491 0.527
0.046 0.046 0.861
0.280 0.280 0.160
0.683 0.683 0.952
```

* ΔE_f: 0.02 eV per formula unit
* DOS at the Fermi energy: 5.39 states/eV/cell

***

A plane-wave DFT calculation with PBE was carried out for SrY2In after structural relaxation.

POSCAR file:
```
SrY2In
1.0
3.701 0.000 0.000
0.000 3.690 0.000
0.000 0.000 9.967
In Sr Y
1 1 2
direct
0.500 0.500 0.250
0.500 0.500 0.750
0.000 0.000 0.054
0.000 0.000 0.446
```

* ΔE_f: -0.57 eV per formula unit
* DOS at the Fermi energy: 4.03 states/eV/cell

***

A plane-wave DFT calculation with PBE was carried out for SrY4In after structural relaxation.

POSCAR file:
```
SrY4In
1.0
0.000 4.674 4.674
4.674 0.000 4.674
4.674 4.674 0.000
Sr Y In
1 4 1
direct
0.000 0.000 0.000
0.873 0.376 0.376
0.376 0.376 0.873
0.376 0.873 0.376
0.376 0.376 0.376
0.750 0.750 0.750
```

* ΔE_f: 1.14 eV per formula unit
* DOS at the Fermi energy: 5.50 states/eV/cell

***

A plane-wave DFT calculation with PBE was carried out for SrYIn after structural relaxation.

POSCAR file:
```
SrYIn
1.0
-0.879 2.326 4.958
-3.125 -4.274 -1.652
4.731 -4.622 3.007
Y Sr In
2 2 2
direct
0.333 0.667 0.750
0.667 0.333 0.250
0.000 0.000 0.000
0.000 0.000 0.500
0.333 0.667 0.250
0.667 0.333 0.750
```

* ΔE_f: -0.89 eV per formula unit
* DOS at the Fermi energy: 1.09 states/eV/cell

***

A plane-wave DFT calculation with PBE was carried out for SrY5In3 after structural relaxation.

POSCAR file:
```
SrY5In3
1.0
-5.914 2.045 -2.879
0.585 -7.077 -6.227
-4.455 -1.303 8.225
Sr Y In
2 10 6
direct
0.000 0.000 0.000
0.500 0.000 0.000
0.000 0.667 0.333
0.500 0.333 0.667
0.000 0.333 0.667
0.500 0.667 0.333
0.750 0.664 0.664
0.750 0.000 0.336
0.750 0.336 0.000
0.250 0.336 0.336
0.250 0.000 0.664
0.250 0.664 0.000
0.750 0.337 0.337
0.750 0.000 0.663
0.750 0.663 0.000
0.250 0.663 0.663
0.250 0.000 0.337
0.250 0.337 0.000
```

* ΔE_f: -3.16 eV per formula unit
* DOS at the Fermi energy: 15.96 states/eV/cell

***

A plane-wave DFT calculation with PBE was carried out for SrYIn after structural relaxation.

POSCAR file:
```
SrYIn
1.0
5.543 0.000 0.000
0.000 5.570 -0.009
0.000 2.803 6.675
Y Sr In
2 2 2
direct
0.142 0.104 0.606
0.142 0.847 0.121
0.642 0.627 0.561
0.642 0.324 0.167
0.142 0.476 0.864
0.642 0.976 0.864
```

* ΔE_f: -0.65 eV per formula unit
* DOS at the Fermi energy: 4.44 states/eV/cell

***

A plane-wave DFT calculation with PBE was carried out for Sr2YIn2 after structural relaxation.

POSCAR file:
```
Sr2YIn2
1.0
-1.121 0.465 8.835
7.955 -3.845 1.212
1.903 3.949 0.034
Y Sr In
2 4 4
direct
0.000 0.000 0.000
0.500 0.500 0.000
0.168 0.668 0.500
0.668 0.832 0.500
0.832 0.332 0.500
0.332 0.168 0.500
0.368 0.868 0.000
0.868 0.632 0.000
0.632 0.132 0.000
0.132 0.368 0.000
```

* ΔE_f: -1.33 eV per formula unit
* offset from the most stable computed form: 0.0000 eV per atom
* DOS at the Fermi energy: 4.92 states/eV/cell

***

A plane-wave DFT calculation with PBE was carried out for SrY3In2 after structural relaxation.

POSCAR file:
```
SrY3In2
1.0
5.442 0.000 0.000
0.000 7.003 0.000
0.000 0.000 9.553
Sr Y In
2 6 4
direct
0.500 0.507 0.523
0.500 0.007 0.477
0.000 0.493 0.979
0.000 0.993 0.021
0.500 0.716 0.164
0.500 0.216 0.836
0.000 0.284 0.323
0.000 0.784 0.677
0.500 0.744 0.842
0.500 0.244 0.158
0.000 0.257 0.670
0.000 0.757 0.330
```

* ΔE_f: -2.02 eV per formula unit
* DOS at the Fermi energy: 8.66 states/eV/cell

***

A plane-wave DFT calculation with PBE was carried out for Sr2Y2In after structural relaxation.

POSCAR file:
```
Sr2Y2In
1.0
8.165 0.000 0.000
0.000 8.165 0.000
0.000 0.000 5.883
Y Sr In
4 4 2
direct
0.353 0.853 0.000
0.853 0.647 0.000
0.647 0.147 0.000
0.147 0.353 0.000
0.167 0.667 0.500
0.667 0.833 0.500
0.833 0.333 0.500
0.333 0.167 0.500
0.000 0.000 0.000
0.500 0.500 0.000
```

* ΔE_f: 0.38 eV per formula unit
* DOS at the Fermi energy: 12.95 states/eV/cell